Record 1
Below is a relaxed PrLuIr crystal, with properties calculated at the PBE level.

Lattice parameters (Å, degrees): 4.1668 4.1668 6.1285 90.00 90.00 120.00
Element x y z (fractional)
1 Pr 0.0000 0.0000 0.0000
2 Lu 0.6667 0.3333 0.5390
3 Ir 0.3333 0.6667 0.7467

Output
excess energy over the best structure of this formula in the dataset	0.093	eV per atom
ΔH_f (0 K)	-0.51	eV per atom
SG	P3m1

***

Record 2
Below is a relaxed Li2PaTl2Se4 crystal, with properties calculated at the PBE level.

Lattice parameters (Å, degrees): 8.0450 8.0450 7.7638 109.84 109.84 30.78
Element x y z (fractional)
1 Li 0.1825 0.1825 0.4878
2 Li 0.8175 0.8175 0.5122
3 Pa 0.5000 0.5000 0.5000
4 Tl 0.3602 0.3602 0.9345
5 Tl 0.6398 0.6398 0.0655
6 Se 0.0157 0.0157 0.2640
7 Se 0.3033 0.3033 0.3226
8 Se 0.6967 0.6967 0.6774
9 Se 0.9843 0.9843 0.7360

Output
ΔE_f (raw)	-1.02	eV/atom
SG	C2/m

***

Record 3
Below is a relaxed Si2TcNi crystal, with properties calculated at the PBE level.

Lattice parameters (Å, degrees): 5.2619 5.2619 5.2619 106.05 106.05 116.56
Element x y z (fractional)
1 Si 0.0955 0.6250 0.9705
2 Si 0.3750 0.3455 0.4705
3 Si 0.6545 0.1250 0.0295
4 Si 0.8750 0.9045 0.5295
5 Tc 0.2500 0.7500 0.5000
6 Tc 0.5000 0.5000 0.0000
7 Ni 0.0000 0.0000 0.0000
8 Ni 0.7500 0.2500 0.5000

Output
ΔE_f (raw)	0.12	eV/atom
SG	I-42d

***

Record 4
Below is a relaxed Rb2SrPd crystal, with properties calculated at the PBE level.

Lattice parameters (Å, degrees): 6.2621 6.2621 6.2621 60.00 60.00 60.00
Element x y z (fractional)
1 Rb 0.2500 0.2500 0.2500
2 Rb 0.7500 0.7500 0.7500
3 Sr 0.0000 0.0000 0.0000
4 Pd 0.5000 0.5000 0.5000

Output
excess energy over the best structure of this formula in the dataset	0.282	eV per atom
ΔH_f (0 K)	0.37	eV per atom
SG	Fm-3m

***

Record 5
Below is a relaxed Dy3TlPd crystal, with properties calculated at the PBE level.

Lattice parameters (Å, degrees): 8.7476 8.7476 7.4774 90.00 90.00 80.61
Element x y z (fractional)
1 Dy 0.0282 0.1943 0.0940
2 Dy 0.0666 0.4333 0.7150
3 Dy 0.1943 0.0282 0.5940
4 Dy 0.3057 0.4712 0.0940
5 Dy 0.4333 0.0666 0.2150
6 Dy 0.4712 0.3057 0.5940
7 Dy 0.5288 0.6943 0.4060
8 Dy 0.5667 0.9334 0.7850
9 Dy 0.6943 0.5288 0.9060
10 Dy 0.8057 0.9718 0.4060
11 Dy 0.9334 0.5667 0.2850
12 Dy 0.9718 0.8057 0.9060
13 Tl 0.1824 0.8176 0.2500
14 Tl 0.3181 0.6819 0.7500
15 Tl 0.6819 0.3181 0.2500
16 Tl 0.8176 0.1824 0.7500
17 Pd 0.1901 0.3093 0.3839
18 Pd 0.3093 0.1901 0.8839
19 Pd 0.6907 0.8099 0.1161
20 Pd 0.8099 0.6907 0.6161

Output
ΔH_f (0 K)	-0.41	eV per atom
SG	C2/c

***

Record 6
Below is a relaxed PuTl2In crystal, with properties calculated at the PBE level.

Lattice parameters (Å, degrees): 4.7516 4.7516 4.7360 90.00 90.00 90.00
Element x y z (fractional)
1 Pu 0.0000 0.0000 0.0000
2 Tl 0.0000 0.5000 0.5000
3 Tl 0.5000 0.0000 0.5000
4 In 0.5000 0.5000 0.0000

Output
excess energy over the best structure of this formula in the dataset	0.000	eV per atom
ΔH_f (0 K)	-0.08	eV per atom
SG	P4/mmm

***

Record 7
Below is a relaxed Zr5Be crystal, with properties calculated at the PBE level.

Lattice parameters (Å, degrees): 3.1994 3.1994 12.2529 90.00 90.00 90.00
Element x y z (fractional)
1 Zr 0.0000 0.0000 0.0000
2 Zr 0.0000 0.0000 0.3690
3 Zr 0.0000 0.0000 0.6310
4 Zr 0.5000 0.5000 0.1860
5 Zr 0.5000 0.5000 0.8140
6 Be 0.5000 0.5000 0.5000

Output
excess energy over the best structure of this formula in the dataset	0.000	eV per atom
ΔH_f (0 K)	0.01	eV per atom
SG	P4/mmm

***

Record 8
Below is a relaxed KYPdCl6 crystal, with properties calculated at the PBE level.

Lattice parameters (Å, degrees): 6.7287 6.7287 7.0795 90.00 90.00 120.00
Element x y z (fractional)
1 K 0.0000 0.0000 0.0000
2 Y 0.3333 0.6667 0.5000
3 Pd 0.6667 0.3333 0.5000
4 Cl 0.3722 0.0114 0.2888
5 Cl 0.3722 0.3608 0.7112
6 Cl 0.6392 0.0114 0.7112
7 Cl 0.6392 0.6278 0.2888
8 Cl 0.9886 0.3608 0.2888
9 Cl 0.9886 0.6278 0.7112

Output
ΔE_f (raw)	-1.56	eV/atom
SG	P312

***

Record 9
Below is a relaxed SnSbSe crystal, with properties calculated at the PBE level.

Lattice parameters (Å, degrees): 12.9271 12.9271 12.9271 18.73 18.73 18.73
Element x y z (fractional)
1 Sn 0.0833 0.0833 0.0833
2 Sn 0.9167 0.9167 0.9167
3 Sb 0.3544 0.3544 0.3544
4 Sb 0.6456 0.6456 0.6456
5 Se 0.2141 0.2141 0.2141
6 Se 0.7859 0.7859 0.7859

Output
excess energy over the best structure of this formula in the dataset	0.000	eV per atom
ΔE_f (raw)	-0.25	eV/atom
SG	R-3m

***

Record 10
Below is a relaxed Ba2SrBi2 crystal, with properties calculated at the PBE level.

Lattice parameters (Å, degrees): 8.6412 8.6412 8.6412 143.19 143.19 53.04
Element x y z (fractional)
1 Ba 0.2500 0.7500 0.5000
2 Ba 0.7500 0.2500 0.5000
3 Sr 0.0000 0.0000 0.0000
4 Bi 0.3951 0.3951 0.0000
5 Bi 0.6049 0.6049 0.0000

Output
excess energy over the best structure of this formula in the dataset	0.373	eV per atom
ΔH_f (0 K)	-0.52	eV per atom
SG	I4/mmm

***

Record 11
Below is a relaxed Fe2PtRh crystal, with properties calculated at the PBE level.

Lattice parameters (Å, degrees): 4.6001 4.6001 4.7054 99.72 99.72 34.34
Element x y z (fractional)
1 Fe 0.2500 0.2500 0.2460
2 Fe 0.7500 0.7500 0.7540
3 Pt 0.0000 0.0000 0.5000
4 Rh 0.5000 0.5000 0.0000

Output
ΔH_f (0 K)	-0.07	eV per atom
SG	C2/m

***

Record 12
Below is a relaxed Li2TaOs crystal, with properties calculated at the PBE level.

Lattice parameters (Å, degrees): 10.0037 10.0037 10.0037 15.52 15.52 15.52
Element x y z (fractional)
1 Li 0.2431 0.2431 0.2431
2 Li 0.7569 0.7569 0.7569
3 Ta 0.0000 0.0000 0.0000
4 Os 0.5000 0.5000 0.5000

Output
excess energy over the best structure of this formula in the dataset	0.168	eV per atom
ΔH_f (0 K)	0.30	eV per atom
SG	R-3m